Version one
VASP calculation (PBE) on a relaxed MnVH3 crystal.

```
data_MnVH3
_chemical_formula_sum 'Mn4 V4 H12'
_cell_length_a 4.4853
_cell_length_b 5.6280
_cell_length_c 5.6202
_cell_angle_alpha 120.80
_cell_angle_beta 90.00
_cell_angle_gamma 90.00
_space_group_name_H-M_alt 'P 1'
_space_group_IT_number 1
loop_
_space_group_symop_operation_xyz
'x,y,z'
loop_
_atom_site_label
_atom_site_type_symbol
_atom_site_fract_x
_atom_site_fract_y
_atom_site_fract_z
Mn1 Mn 0.7618 0.0793 0.6681
Mn2 Mn 0.2382 0.9207 0.3319
Mn3 Mn 0.2618 0.4207 0.8319
Mn4 Mn 0.7382 0.5793 0.1681
V1 V 0.2474 0.4166 0.3300
V2 V 0.7526 0.5834 0.6700
V3 V 0.7474 0.0834 0.1700
V4 V 0.2526 0.9166 0.8300
H1 H 0.9871 0.7607 0.5296
H2 H 0.0129 0.2393 0.4704
H3 H 0.4871 0.7393 0.9704
H4 H 0.5129 0.2607 0.0296
H5 H 0.4970 0.7094 0.5102
H6 H 0.5030 0.2906 0.4898
H7 H 0.9970 0.7906 0.9898
H8 H 0.0030 0.2094 0.0102
H9 H 0.1253 0.5901 0.1598
H10 H 0.8747 0.4099 0.8402
H11 H 0.6253 0.9099 0.3402
H12 H 0.3747 0.0901 0.6598
```

crystal system: monoclinic
ρ: 5.94 Mg/m³
magnetic moment: 0.00 μB per formula unit
symmetry: P2_1/c (14)

=====

Version two
VASP calculation (PBE) on a relaxed MnVH3 crystal.

```
data_MnVH3
_chemical_formula_sum 'Mn1 V1 H3'
_cell_length_a 3.3811
_cell_length_b 3.3811
_cell_length_c 3.3811
_cell_angle_alpha 90.00
_cell_angle_beta 90.00
_cell_angle_gamma 90.00
_space_group_name_H-M_alt 'P 1'
_space_group_IT_number 1
loop_
_space_group_symop_operation_xyz
'x,y,z'
loop_
_atom_site_label
_atom_site_type_symbol
_atom_site_fract_x
_atom_site_fract_y
_atom_site_fract_z
H1 H 0.0000 0.5000 0.0000
H2 H 0.0000 0.0000 0.5000
H3 H 0.5000 0.0000 0.0000
Mn1 Mn 0.5000 0.5000 0.5000
V1 V 0.0000 0.0000 0.0000
```

crystal system: cubic
ρ: 4.68 Mg/m³
magnetic moment: 3.03 μB per formula unit
symmetry: Pm-3m (221)

=====

Of them, version two has the lowest stability.

=====

Version one
VASP calculation (PBE) on a relaxed MnVH crystal.

```
data_MnVH
_chemical_formula_sum 'Mn1 V1 H1'
_cell_length_a 2.8320
_cell_length_b 2.8320
_cell_length_c 4.2501
_cell_angle_alpha 109.46
_cell_angle_beta 109.46
_cell_angle_gamma 90.00
_space_group_name_H-M_alt 'P 1'
_space_group_IT_number 1
loop_
_space_group_symop_operation_xyz
'x,y,z'
loop_
_atom_site_label
_atom_site_type_symbol
_atom_site_fract_x
_atom_site_fract_y
_atom_site_fract_z
H1 H 0.5424 0.5424 0.0848
Mn1 Mn 0.3037 0.3037 0.6075
V1 V 0.0039 0.0039 0.0078
```

crystal system: tetragonal
ρ: 5.90 Mg/m³
magnetic moment: 1.10 μB per formula unit
symmetry: I4mm (107)

=====

Version two
VASP calculation (PBE) on a relaxed MnVH crystal.

```
data_MnVH
_chemical_formula_sum 'Mn2 V2 H2'
_cell_length_a 2.8241
_cell_length_b 5.3794
_cell_length_c 4.7610
_cell_angle_alpha 49.48
_cell_angle_beta 72.67
_cell_angle_gamma 74.79
_space_group_name_H-M_alt 'P 1'
_space_group_IT_number 1
loop_
_space_group_symop_operation_xyz
'x,y,z'
loop_
_atom_site_label
_atom_site_type_symbol
_atom_site_fract_x
_atom_site_fract_y
_atom_site_fract_z
H1 H 0.2479 0.7243 0.2798
H2 H 0.7521 0.2757 0.7202
Mn1 Mn 0.3896 0.3181 0.3999
Mn2 Mn 0.6104 0.6819 0.6001
V1 V 0.1146 0.1745 0.0972
V2 V 0.8854 0.8255 0.9028
```

crystal system: triclinic
ρ: 6.79 Mg/m³
magnetic moment: 0.05 μB per formula unit
symmetry: P-1 (2)

=====

Of them, version one has the lowest stability.

=====

Version one
VASP calculation (PBE) on a relaxed MnVH crystal.

```
data_MnVH
_chemical_formula_sum 'Mn2 V2 H2'
_cell_length_a 3.9490
_cell_length_b 3.4372
_cell_length_c 3.9488
_cell_angle_alpha 90.03
_cell_angle_beta 90.00
_cell_angle_gamma 90.00
_space_group_name_H-M_alt 'P 1'
_space_group_IT_number 1
loop_
_space_group_symop_operation_xyz
'x,y,z'
loop_
_atom_site_label
_atom_site_type_symbol
_atom_site_fract_x
_atom_site_fract_y
_atom_site_fract_z
Mn1 Mn 0.7522 0.5040 0.2516
Mn2 Mn 0.2523 0.5037 0.7516
V1 V 0.7522 0.0039 0.7516
V2 V 0.2523 0.0038 0.2517
H1 H 0.7522 0.0041 0.2515
H2 H 0.2522 0.0037 0.7518
```

crystal system: tetragonal
ρ: 6.62 Mg/m³
magnetic moment: 0.91 μB per formula unit
symmetry: P4/mmm (123)

=====

Version two
VASP calculation (PBE) on a relaxed MnVH crystal.

```
data_MnVH
_chemical_formula_sum 'Mn1 V1 H1'
_cell_length_a 2.9374
_cell_length_b 3.3466
_cell_length_c 3.3466
_cell_angle_alpha 120.00
_cell_angle_beta 90.00
_cell_angle_gamma 90.00
_space_group_name_H-M_alt 'P 1'
_space_group_IT_number 1
loop_
_space_group_symop_operation_xyz
'x,y,z'
loop_
_atom_site_label
_atom_site_type_symbol
_atom_site_fract_x
_atom_site_fract_y
_atom_site_fract_z
H1 H 0.2742 0.6667 0.3333
Mn1 Mn 0.1531 0.0000 0.0000
V1 V 0.5727 0.3333 0.6667
```

crystal system: trigonal
ρ: 6.23 Mg/m³
magnetic moment: 0.00 μB per formula unit
symmetry: P3m1 (156)

=====

Of them, version two has the lowest stability.

=====

Version one
VASP calculation (PBE) on a relaxed Mn2VH crystal.

```
data_Mn2VH
_chemical_formula_sum 'Mn2 V1 H1'
_cell_length_a 3.6377
_cell_length_b 3.6377
_cell_length_c 5.8580
_cell_angle_alpha 71.91
_cell_angle_beta 71.91
_cell_angle_gamma 60.00
_space_group_name_H-M_alt 'P 1'
_space_group_IT_number 1
loop_
_space_group_symop_operation_xyz
'x,y,z'
loop_
_atom_site_label
_atom_site_type_symbol
_atom_site_fract_x
_atom_site_fract_y
_atom_site_fract_z
H1 H 0.0000 0.0000 0.0000
Mn1 Mn 0.1014 0.1014 0.6959
Mn2 Mn 0.8986 0.8986 0.3041
V1 V 0.5000 0.5000 0.5000
```

crystal system: trigonal
ρ: 4.29 Mg/m³
magnetic moment: 3.84 μB per formula unit
symmetry: R-3m (166)

=====

Version two
VASP calculation (PBE) on a relaxed Mn2VH crystal.

```
data_Mn2VH
_chemical_formula_sum 'Mn2 V1 H1'
_cell_length_a 3.9315
_cell_length_b 3.9315
_cell_length_c 3.9315
_cell_angle_alpha 60.00
_cell_angle_beta 60.00
_cell_angle_gamma 60.00
_space_group_name_H-M_alt 'P 1'
_space_group_IT_number 1
loop_
_space_group_symop_operation_xyz
'x,y,z'
loop_
_atom_site_label
_atom_site_type_symbol
_atom_site_fract_x
_atom_site_fract_y
_atom_site_fract_z
H1 H 0.0000 0.0000 0.0000
Mn1 Mn 0.2500 0.2500 0.2500
Mn2 Mn 0.7500 0.7500 0.7500
V1 V 0.5000 0.5000 0.5000
```

crystal system: cubic
ρ: 6.25 Mg/m³
magnetic moment: 3.32 μB per formula unit
symmetry: Fm-3m (225)

=====

Version three
VASP calculation (PBE) on a relaxed Mn2VH crystal.

```
data_Mn2VH
_chemical_formula_sum 'Mn2 V1 H1'
_cell_length_a 2.7994
_cell_length_b 2.7994
_cell_length_c 4.9820
_cell_angle_alpha 90.00
_cell_angle_beta 90.00
_cell_angle_gamma 90.00
_space_group_name_H-M_alt 'P 1'
_space_group_IT_number 1
loop_
_space_group_symop_operation_xyz
'x,y,z'
loop_
_atom_site_label
_atom_site_type_symbol
_atom_site_fract_x
_atom_site_fract_y
_atom_site_fract_z
H1 H 0.5000 0.5000 0.0000
Mn1 Mn 0.0000 0.0000 0.7958
Mn2 Mn 0.0000 0.0000 0.2042
V1 V 0.5000 0.5000 0.5000
```

crystal system: tetragonal
ρ: 6.88 Mg/m³
magnetic moment: 0.00 μB per formula unit
symmetry: P4/mmm (123)

=====

Version four
VASP calculation (PBE) on a relaxed Mn2VH crystal.

```
data_Mn2VH
_chemical_formula_sum 'Mn4 V2 H2'
_cell_length_a 6.1567
_cell_length_b 6.1567
_cell_length_c 4.7907
_cell_angle_alpha 50.02
_cell_angle_beta 50.02
_cell_angle_gamma 90.00
_space_group_name_H-M_alt 'P 1'
_space_group_IT_number 1
loop_
_space_group_symop_operation_xyz
'x,y,z'
loop_
_atom_site_label
_atom_site_type_symbol
_atom_site_fract_x
_atom_site_fract_y
_atom_site_fract_z
H1 H 0.5000 0.5000 0.0000
H2 H 0.2500 0.7500 0.5000
Mn1 Mn 0.5191 0.1250 0.2500
Mn2 Mn 0.2309 0.6250 0.2500
Mn3 Mn 0.3750 0.4809 0.7500
Mn4 Mn 0.8750 0.7691 0.7500
V1 V 0.0000 0.0000 0.0000
V2 V 0.7500 0.2500 0.5000
```

crystal system: tetragonal
ρ: 7.09 Mg/m³
magnetic moment: 0.14 μB per formula unit
symmetry: I-42d (122)

=====

Of them, version one has the lowest stability.